[1]
LaTl5 | PBE | relaxed

Results
ΔH_f (0 K): -1.1 eV/f.u.

a = 7.5495 Å, b = 7.5495 Å, c = 5.1376 Å
α = 90.00°, β = 90.00°, γ = 142.73°
Last column: nearest neighbours and their distance in Å.
Fractional coordinates of all 6 atoms:
La 0.9722 0.0278 0.0000  12 Tl 3.47-3.52
Tl 0.2981 0.7019 0.0000  10 Tl 3.25-3.58, 2 La 3.47
Tl 0.6463 0.3537 0.0000  10 Tl 3.25-3.58, 2 La 3.47
Tl 0.4722 0.5278 0.5000  8 Tl 3.40-3.58, 4 La 3.52
Tl 0.8045 0.1955 0.5000  10 Tl 3.37-3.53, 2 La 3.51
Tl 0.1399 0.8601 0.5000  10 Tl 3.37-3.53, 2 La 3.51


[2]
K2TaNi | PBE | relaxed

Results
Energy above the most stable polymorph in this dataset: 715 meV per atom
ΔH_f (0 K): 5.2 eV/f.u.

a = 6.6088 Å, b = 6.6088 Å, c = 6.6088 Å
α = 145.89°, β = 145.89°, γ = 49.01°
Last column: nearest neighbours and their distance in Å.
Fractional coordinates of all 4 atoms:
K 0.0000 0.0000 0.0000  4 K 2.74
K 0.5000 0.5000 0.0000  4 K 2.74
Ni 0.2500 0.7500 0.5000  4 Ta 2.74
Ta 0.7500 0.2500 0.5000  4 Ni 2.74


Q: Which of these has the highest ΔH_f (0 K)?
A: K2TaNi


Q: Which value of ΔH_f (0 K) does entry 1 give?
A: -1.1 eV/f.u.


Q: The lowest ΔH_f (0 K) belongs to which entry?
A: LaTl5